## Hf2AlAg2 (PBE)

Data for an optimized crystal structure of Hf2AlAg2.

Geometry as CIF:
```
data_Hf2AlAg2
_chemical_formula_sum 'Hf4 Al2 Ag4'
_symmetry_space_group_name_H-M 'I 4/m m m'
_symmetry_Int_Tables_number 139
_symmetry_space_group_name_Hall '-I 4 2'
_cell_length_a 4.2176
_cell_length_b 4.2176
_cell_length_c 12.3388
_cell_angle_alpha 90.00
_cell_angle_beta 90.00
_cell_angle_gamma 90.00
loop_
_atom_site_label
_atom_site_fract_x
_atom_site_fract_y
_atom_site_fract_z
Hf1 0.0000 0.5000 0.2500
Al1 0.0000 0.0000 0.0000
Ag1 0.0000 0.0000 0.3986
```

Computed properties:
- total magnetic moment (Bohr magnetons per cell) = 0.0
- total energy (eV per atom) = -5.402


## Hf2AlInAg2 (PBE)

Data for an optimized crystal structure of Hf2AlInAg2.

Geometry as CIF:
```
data_Hf2AlInAg2
_chemical_formula_sum 'Hf8 Al4 In4 Ag8'
_symmetry_space_group_name_H-M 'P 1 m 1'
_symmetry_Int_Tables_number 6
_symmetry_space_group_name_Hall 'P -2y'
_cell_length_a 11.0268
_cell_length_b 4.5029
_cell_length_c 11.0309
_cell_angle_alpha 90.00
_cell_angle_beta 109.50
_cell_angle_gamma 90.00
loop_
_atom_site_label
_atom_site_fract_x
_atom_site_fract_y
_atom_site_fract_z
Hf1 0.0000 0.0000 0.0000
Hf2 0.1171 0.5000 0.3735
Hf3 0.2411 0.0000 0.7447
Hf4 0.3757 0.5000 0.1307
Hf5 0.4964 0.0000 0.5009
Hf6 0.6221 0.5000 0.8701
Hf7 0.7463 0.0000 0.2514
Hf8 0.8686 0.5000 0.6221
Al1 0.2480 0.0000 0.2505
Al2 0.6215 0.5000 0.3758
Al3 0.7457 0.0000 0.7474
Al4 0.9933 0.0000 0.4978
In1 0.1201 0.5000 0.8744
In2 0.3696 0.5000 0.6221
In3 0.4973 0.0000 0.0011
In4 0.8720 0.5000 0.1241
Ag1 0.1295 0.5000 0.1315
Ag2 0.2380 0.0000 0.4913
Ag3 0.3706 0.5000 0.8743
Ag4 0.4984 0.0000 0.2578
Ag5 0.6253 0.5000 0.6227
Ag6 0.7476 0.0000 0.9920
Ag7 0.8688 0.5000 0.3784
Ag8 0.9884 0.0000 0.7425
```

Computed properties:
- total magnetic moment (Bohr magnetons per cell) = 0.0
- total energy (eV per atom) = -5.318


## Hf2ZrAl3Ag2Ir (PBE)

Data for an optimized crystal structure of Hf2ZrAl3Ag2Ir.

Geometry as CIF:
```
data_Hf2ZrAl3Ag2Ir
_chemical_formula_sum 'Hf4 Zr2 Al6 Ag4 Ir2'
_symmetry_space_group_name_H-M 'A m m 2'
_symmetry_Int_Tables_number 38
_symmetry_space_group_name_Hall 'A 2 -2'
_cell_length_a 4.1879
_cell_length_b 11.7024
_cell_length_c 6.6947
_cell_angle_alpha 90.00
_cell_angle_beta 90.00
_cell_angle_gamma 90.00
loop_
_atom_site_label
_atom_site_fract_x
_atom_site_fract_y
_atom_site_fract_z
Hf1 0.0000 0.2019 0.0000
Zr1 0.0000 0.0000 0.3906
Al1 0.5000 0.0000 0.0388
Al2 0.5000 0.1183 0.6778
Ag1 0.5000 0.1692 0.2972
Ir1 0.0000 0.0000 0.8047
```

Computed properties:
- total magnetic moment (Bohr magnetons per cell) = 0.0
- total energy (eV per atom) = -6.483


## HfAlNiAg (PBE)

Data for an optimized crystal structure of HfAlNiAg.

Geometry as CIF:
```
data_HfAlNiAg
_chemical_formula_sum 'Hf4 Al4 Ni4 Ag4'
_symmetry_space_group_name_H-M 'F -4 3 m'
_symmetry_Int_Tables_number 216
_symmetry_space_group_name_Hall 'F -4 2 3'
_cell_length_a 6.3765
_cell_length_b 6.3765
_cell_length_c 6.3765
_cell_angle_alpha 90.00
_cell_angle_beta 90.00
_cell_angle_gamma 90.00
loop_
_atom_site_label
_atom_site_fract_x
_atom_site_fract_y
_atom_site_fract_z
Hf1 0.0000 0.0000 0.0000
Al1 0.2500 0.2500 0.2500
Ni1 0.0000 0.0000 0.5000
Ag1 0.2500 0.2500 0.7500
```

Computed properties:
- E above lowest polymorph (meV per atom) = 262.3
- total magnetic moment (Bohr magnetons per cell) = 0.1
- total energy (eV per atom) = -5.611


## HfAlNiAg (PBE)

Data for an optimized crystal structure of HfAlNiAg.

Geometry as CIF:
```
data_HfAlNiAg
_chemical_formula_sum 'Hf2 Al2 Ni2 Ag2'
_symmetry_space_group_name_H-M 'P -3 m 1'
_symmetry_Int_Tables_number 164
_symmetry_space_group_name_Hall '-P 3 2"'
_cell_length_a 4.2803
_cell_length_b 4.2803
_cell_length_c 8.3135
_cell_angle_alpha 90.00
_cell_angle_beta 90.00
_cell_angle_gamma 120.00
loop_
_atom_site_label
_atom_site_fract_x
_atom_site_fract_y
_atom_site_fract_z
Hf1 0.3333 0.6667 0.2762
Al1 0.0000 0.0000 0.0000
Al2 0.0000 0.0000 0.5000
Ni1 0.3333 0.6667 0.5803
Ag1 0.3333 0.6667 0.9050
```

Computed properties:
- E above lowest polymorph (meV per atom) = 0.0
- total magnetic moment (Bohr magnetons per cell) = 0.0
- total energy (eV per atom) = -5.873


## Hf2Al2NiAg3 (PBE)

Data for an optimized crystal structure of Hf2Al2NiAg3.

Geometry as CIF:
```
data_Hf2Al2NiAg3
_chemical_formula_sum 'Hf2 Al2 Ni1 Ag3'
_symmetry_space_group_name_H-M 'P 3 m 1'
_symmetry_Int_Tables_number 156
_symmetry_space_group_name_Hall 'P 3 -2"'
_cell_length_a 4.3822
_cell_length_b 4.3822
_cell_length_c 8.4138
_cell_angle_alpha 90.00
_cell_angle_beta 90.00
_cell_angle_gamma 120.00
loop_
_atom_site_label
_atom_site_fract_x
_atom_site_fract_y
_atom_site_fract_z
Hf1 0.0000 0.0000 0.0000
Hf2 0.3333 0.6667 0.5205
Al1 0.6667 0.3333 0.2552
Al2 0.6667 0.3333 0.7242
Ni1 0.0000 0.0000 0.6821
Ag1 0.0000 0.0000 0.3571
Ag2 0.3333 0.6667 0.1716
Ag3 0.3333 0.6667 0.8443
```

Computed properties:
- total magnetic moment (Bohr magnetons per cell) = 0.0
- total energy (eV per atom) = -5.366


## Hf2Al2Ni3Ag (PBE)

Data for an optimized crystal structure of Hf2Al2Ni3Ag.

Geometry as CIF:
```
data_Hf2Al2Ni3Ag
_chemical_formula_sum 'Hf2 Al2 Ni3 Ag1'
_symmetry_space_group_name_H-M 'P 3 m 1'
_symmetry_Int_Tables_number 156
_symmetry_space_group_name_Hall 'P 3 -2"'
_cell_length_a 4.1605
_cell_length_b 4.1605
_cell_length_c 8.1727
_cell_angle_alpha 90.00
_cell_angle_beta 90.00
_cell_angle_gamma 120.00
loop_
_atom_site_label
_atom_site_fract_x
_atom_site_fract_y
_atom_site_fract_z
Hf1 0.0000 0.0000 0.0000
Hf2 0.3333 0.6667 0.4674
Al1 0.6667 0.3333 0.2344
Al2 0.6667 0.3333 0.6871
Ni1 0.0000 0.0000 0.3140
Ni2 0.0000 0.0000 0.6393
Ni3 0.3333 0.6667 0.1480
Ag1 0.3333 0.6667 0.8185
```

Computed properties:
- total magnetic moment (Bohr magnetons per cell) = 0.0
- total energy (eV per atom) = -6.359


## HfZr2Al3NiAg2 (PBE)

Data for an optimized crystal structure of HfZr2Al3NiAg2.

Geometry as CIF:
```
data_HfZr2Al3NiAg2
_chemical_formula_sum 'Hf2 Zr4 Al6 Ni2 Ag4'
_symmetry_space_group_name_H-M 'A m m 2'
_symmetry_Int_Tables_number 38
_symmetry_space_group_name_Hall 'A 2 -2'
_cell_length_a 4.1071
_cell_length_b 11.5856
_cell_length_c 6.7842
_cell_angle_alpha 90.00
_cell_angle_beta 90.00
_cell_angle_gamma 90.00
loop_
_atom_site_label
_atom_site_fract_x
_atom_site_fract_y
_atom_site_fract_z
Hf1 0.0000 0.0000 0.0000
Zr1 0.0000 0.1968 0.4114
Al1 0.5000 0.0000 0.3758
Al2 0.5000 0.1189 0.7261
Ni1 0.0000 0.0000 0.6154
Ag1 0.5000 0.1638 0.1073
```

Computed properties:
- total magnetic moment (Bohr magnetons per cell) = 0.0
- total energy (eV per atom) = -5.873